A.
VASP calculation (GGA-PBE) on crystalline Nb2BrCl at its relaxed geometry.

As for the magnetic moment: 0.00 Bohr magnetons per cell. As for the crystal system: tetragonal.

It has space group I-42d (No. 122), with a = 4.310 Å, b = 4.310 Å, c = 17.124 Å, α = 90.00°, β = 90.00° and γ = 90.00°. The asymmetric unit holds Nb at (0.231, 0.250, 0.125), Br at (0.000, 0.000, 0.500) and Cl at (0.000, 0.000, 0.000).

B.
VASP calculation (GGA-PBE) on crystalline Nb2BrCl at its relaxed geometry.

As for the magnetic moment: 0.00 Bohr magnetons per cell. As for the crystal system: cubic.

It has space group Fm-3m (No. 225), with a = 6.485 Å, b = 6.485 Å, c = 6.485 Å, α = 90.00°, β = 90.00° and γ = 90.00°. The asymmetric unit holds Nb at (0.250, 0.250, 0.250), Br at (0.000, 0.000, 0.000) and Cl at (0.000, 0.000, 0.500).

In kJ/mol of atoms, relative to the most stable structure: A 0.0; B 36.0.

A.
VASP calculation (GGA-PBE) on crystalline NbBrCl at its relaxed geometry.

As for the magnetic moment: 0.00 Bohr magnetons per cell. As for the crystal system: triclinic.

It has space group P1 (No. 1), with a = 5.272 Å, b = 7.075 Å, c = 7.269 Å, α = 66.11°, β = 68.83° and γ = 68.20°. The asymmetric unit holds Nb at (0.000, 0.000, 0.000), Nb at (0.432, 0.000, 0.000), Br at (0.223, 0.295, 0.691), Br at (0.708, 0.725, 0.291), Cl at (0.015, 0.131, 0.273) and Cl at (0.414, 0.696, 0.907).

B.
VASP calculation (GGA-PBE) on crystalline NbBrCl at its relaxed geometry.

As for the magnetic moment: 0.00 Bohr magnetons per cell. As for the crystal system: triclinic.

It has space group P-1 (No. 2), with a = 4.814 Å, b = 5.057 Å, c = 7.282 Å, α = 91.60°, β = 100.25° and γ = 90.00°. The asymmetric unit holds Nb at (0.027, 0.203, 0.100), Br at (0.074, 0.741, 0.273) and Cl at (0.455, 0.732, 0.833).

C.
VASP calculation (GGA-PBE) on crystalline NbBrCl at its relaxed geometry.

As for the magnetic moment: 0.00 Bohr magnetons per cell. As for the crystal system: orthorhombic.

It has space group Pbcm (No. 57), with a = 7.905 Å, b = 14.657 Å, c = 3.474 Å, α = 90.00°, β = 90.00° and γ = 90.00°. The asymmetric unit holds Nb at (0.129, 0.178, 0.250), Br at (0.110, 0.632, 0.750) and Cl at (0.394, 0.117, 0.250).

In kJ/mol of atoms, relative to the most stable structure: A 19.6; B 11.7; C 0.0.

A.
VASP calculation (GGA-PBE) on crystalline NbPBrCl2 at its relaxed geometry.

As for the magnetic moment: 2.67 Bohr magnetons per cell. As for the crystal system: tetragonal.

It has space group P4/mmm (No. 123), with a = 4.932 Å, b = 4.932 Å, c = 5.228 Å, α = 90.00°, β = 90.00° and γ = 90.00°. The asymmetric unit holds Nb at (0.000, 0.000, 0.000), P at (0.500, 0.500, 0.000), Br at (0.500, 0.500, 0.500) and Cl at (0.000, 0.500, 0.500).

B.
VASP calculation (GGA-PBE) on crystalline NbPBrCl2 at its relaxed geometry.

As for the magnetic moment: 0.00 Bohr magnetons per cell. As for the crystal system: tetragonal.

It has space group P4/mmm (No. 123), with a = 4.784 Å, b = 4.784 Å, c = 5.119 Å, α = 90.00°, β = 90.00° and γ = 90.00°. The asymmetric unit holds Nb at (0.000, 0.000, 0.000), P at (0.000, 0.000, 0.500), Br at (0.500, 0.500, 0.500) and Cl at (0.000, 0.500, 0.000).

In kJ/mol of atoms, relative to the most stable structure: A 141.0; B 0.0.